(1)
This record from Alexandria via LeMat-Bulk describes a geometry-optimized Ti8Zn2Sb structure. The functional is GGA-PBE.

**ΔE_f (raw)**: -0.038 eV per atom
**Final energy**: -6.3858 eV per atom
**Calculated density**: 5.492 Mg/m³

Cell lengths 4.747, 7.229, 7.229 Å; angles 119.67, 103.16, 103.16 degrees
Fractional coordinates of all 11 atoms:
Ti1 0.843 0.905 0.679
Ti2 0.843 0.679 0.905
Ti3 0.286 0.582 0.582
Ti4 0.500 0.779 0.221
Ti5 0.500 0.221 0.779
Ti6 0.714 0.418 0.418
Ti7 0.157 0.321 0.095
Ti8 0.157 0.095 0.321
Zn1 0.000 0.306 0.694
Zn2 0.000 0.694 0.306
Sb1 0.500 0.000 0.000

=====

(2)
This record from Alexandria via LeMat-Bulk describes a geometry-optimized TiZnSb structure. The functional is GGA-PBE.

**ΔE_f (raw)**: -0.155 eV per atom
**Final energy**: -4.5849 eV per atom
**Calculated density**: 6.637 Mg/m³

Cell lengths 3.819, 3.819, 8.065 Å; angles 90.00, 90.00, 90.00 degrees
Fractional coordinates of all 6 atoms:
Ti1 0.000 0.500 0.723
Ti2 0.500 0.000 0.277
Zn1 0.000 0.000 0.000
Zn2 0.500 0.500 0.000
Sb1 0.000 0.500 0.356
Sb2 0.500 0.000 0.644

=====

(3)
This record from Alexandria via LeMat-Bulk describes a geometry-optimized Ti5Zn2Sb structure. The functional is GGA-PBE.

**ΔE_f (raw)**: -0.209 eV per atom
**Final energy**: -5.9768 eV per atom
**Calculated density**: 5.929 Mg/m³

Cell lengths 6.912, 6.912, 7.560 Å; angles 117.20, 117.20, 90.00 degrees
Fractional coordinates of all 16 atoms:
Ti1 0.500 0.690 0.690
Ti2 0.810 0.000 0.310
Ti3 0.000 0.000 0.000
Ti4 0.500 0.500 0.000
Ti5 0.190 0.000 0.690
Ti6 0.690 0.190 0.690
Ti7 0.000 0.500 0.690
Ti8 0.310 0.810 0.310
Ti9 0.000 0.500 0.310
Ti10 0.500 0.310 0.310
Zn1 0.138 0.362 0.000
Zn2 0.638 0.138 0.000
Zn3 0.362 0.862 0.000
Zn4 0.862 0.638 0.000
Sb1 0.750 0.750 0.500
Sb2 0.250 0.250 0.500

=====

(4)
This record from Alexandria via LeMat-Bulk describes a geometry-optimized Ti3ZnSb structure. The functional is GGA-PBE.

**ΔE_f (raw)**: 0.024 eV per atom
**Final energy**: -5.7919 eV per atom
**Calculated density**: 5.988 Mg/m³

Cell lengths 5.157, 6.410, 6.410 Å; angles 120.01, 90.00, 90.00 degrees
Fractional coordinates of all 10 atoms:
Ti1 0.250 0.805 0.195
Ti2 0.750 0.195 0.805
Ti3 0.250 0.805 0.609
Ti4 0.750 0.195 0.391
Ti5 0.250 0.391 0.195
Ti6 0.750 0.609 0.805
Zn1 0.000 0.000 0.000
Zn2 0.500 0.000 0.000
Sb1 0.250 0.333 0.667
Sb2 0.750 0.667 0.333

=====

(5)
This record from Alexandria via LeMat-Bulk describes a geometry-optimized Ti3ZnSb structure. The functional is GGA-PBE.

**ΔE_f (raw)**: 0.360 eV per atom
**Final energy**: -5.4562 eV per atom
**Calculated density**: 5.426 Mg/m³

Cell lengths 4.661, 4.661, 4.661 Å; angles 90.00, 90.00, 90.00 degrees
Fractional coordinates of all 5 atoms:
Sb1 0.500 0.500 0.500
Zn1 0.000 0.000 0.000
Ti1 0.000 0.500 0.000
Ti2 0.000 0.000 0.500
Ti3 0.500 0.000 0.000

=====

(6)
This record from Alexandria via LeMat-Bulk describes a geometry-optimized TiZn2Sb structure. The functional is GGA-PBE.

**ΔE_f (raw)**: -0.099 eV per atom
**Final energy**: -3.7400 eV per atom
**Calculated density**: 7.095 Mg/m³

Cell lengths 4.267, 4.060, 4.060 Å; angles 90.00, 90.00, 90.00 degrees
Fractional coordinates of all 4 atoms:
Sb1 0.500 0.500 0.500
Zn1 0.000 0.000 0.500
Zn2 0.000 0.500 0.000
Ti1 0.500 0.000 0.000

=====

(7)
This record from Alexandria via LeMat-Bulk describes a geometry-optimized Ti8ZnSb2 structure. The functional is GGA-PBE.

**ΔE_f (raw)**: -0.233 eV per atom
**Final energy**: -6.8405 eV per atom
**Calculated density**: 5.886 Mg/m³

Cell lengths 4.072, 6.946, 7.695 Å; angles 110.79, 105.34, 90.00 degrees
Fractional coordinates of all 11 atoms:
Ti1 0.418 0.560 0.835
Ti2 0.675 0.914 0.349
Ti3 0.859 0.802 0.719
Ti4 0.959 0.236 0.918
Ti5 0.141 0.198 0.281
Ti6 0.325 0.086 0.651
Ti7 0.582 0.440 0.165
Ti8 0.041 0.764 0.082
Zn1 0.500 0.000 0.000
Sb1 0.790 0.343 0.580
Sb2 0.210 0.657 0.420

=====

(8)
This record from Alexandria via LeMat-Bulk describes a geometry-optimized Ti2ZnSb structure. The functional is GGA-PBE.

**ΔE_f (raw)**: 0.067 eV per atom
**Final energy**: -5.2293 eV per atom
**Calculated density**: 5.642 Mg/m³

Cell lengths 4.143, 4.143, 6.090 Å; angles 70.11, 70.11, 60.00 degrees
Fractional coordinates of all 4 atoms:
Ti1 0.085 0.085 0.745
Ti2 0.250 0.250 0.251
Zn1 0.497 0.497 0.508
Sb1 0.668 0.668 0.996